Record 1
First-principles (PBE) data for a relaxed Zr6AgPd crystal, as listed in Alexandria.

Lattice parameters (Å, degrees): 4.5881 4.5881 16.2530 90.00 90.00 90.00
Atoms (fractional coordinates):
1 Zr 0.0000 0.0000 0.2495
2 Zr 0.0000 0.0000 0.7505
3 Zr 0.0000 0.5000 0.1166
4 Zr 0.0000 0.5000 0.3834
5 Zr 0.0000 0.5000 0.6166
6 Zr 0.0000 0.5000 0.8834
7 Zr 0.5000 0.0000 0.1166
8 Zr 0.5000 0.0000 0.3834
9 Zr 0.5000 0.0000 0.6166
10 Zr 0.5000 0.0000 0.8834
11 Zr 0.5000 0.5000 0.2505
12 Zr 0.5000 0.5000 0.7495
13 Ag 0.0000 0.0000 0.0000
14 Ag 0.5000 0.5000 0.5000
15 Pd 0.0000 0.0000 0.5000
16 Pd 0.5000 0.5000 0.0000

Calculated values
SG   I4/mmm, No. 139
Calculated formation energy   -0.2013 eV per atom


Record 2
First-principles (PBE) data for a relaxed Pm3InHg4 crystal, as listed in Alexandria.

Lattice parameters (Å, degrees): 8.2046 8.2046 6.8682 90.00 90.00 90.00
Atoms (fractional coordinates):
1 Pm 0.0000 0.0000 0.0000
2 Pm 0.0000 0.5000 0.2500
3 Pm 0.0000 0.5000 0.7500
4 Pm 0.5000 0.0000 0.2500
5 Pm 0.5000 0.0000 0.7500
6 Pm 0.5000 0.5000 0.5000
7 In 0.0000 0.0000 0.5000
8 In 0.5000 0.5000 0.0000
9 Hg 0.2414 0.2414 0.5000
10 Hg 0.2414 0.7586 0.5000
11 Hg 0.2586 0.2586 0.0000
12 Hg 0.2586 0.7414 0.0000
13 Hg 0.7414 0.2586 0.0000
14 Hg 0.7414 0.7414 0.0000
15 Hg 0.7586 0.2414 0.5000
16 Hg 0.7586 0.7586 0.5000

Calculated values
Relative energy among the computed polymorphs   145.5 meV/atom
SG   I4/mmm, No. 139
Calculated formation energy   -0.2978 eV per atom


Record 3
First-principles (PBE) data for a relaxed YC3 crystal, as listed in Alexandria.

Lattice parameters (Å, degrees): 2.9813 3.3845 4.0702 90.00 90.00 90.00
Atoms (fractional coordinates):
1 Y 0.0000 0.0000 0.0000
2 C 0.0000 0.5000 0.4756
3 C 0.5000 0.0000 0.4924
4 C 0.5000 0.5000 0.6765

Calculated values
Relative energy among the computed polymorphs   1083.1 meV/atom
SG   Pmm2, No. 25
Calculated formation energy   1.3456 eV per atom